K2CrCl3F: optimized geometry, PBE+U.

Geometry as extended XYZ:
```
7
Lattice="-2.0385 2.5870 8.2312 2.0385 -2.5870 8.2312 2.0385 2.5870 -8.2312" Properties=species:S:1:pos:R:3 pbc="T T T"
K 0.0000 0.0000 2.4399
K 0.0000 0.0000 14.0225
Cr 0.0000 0.0000 8.2312
Cl 2.0385 0.0000 0.0000
Cl 0.0000 0.0000 5.6048
Cl 0.0000 0.0000 10.8577
F 0.0000 2.5870 0.0000
```

Properties
Space-group type = Immm, No. 71
E = -30.62 eV per cell